A plane-wave DFT calculation with GGA-PBE was carried out for a relaxed La8In3 crystal.

Properties
energy relative to the lowest polymorph listed for this composition: 0.000 eV/f.u.
crystal system: monoclinic
energy of formation: -0.3021 eV/atom

Cell lengths 4.8382, 6.2366, 13.0732 Å; angles 102.28, 90.00, 112.82 degrees
With the nearest neighbours (Å) after each atom.
Positions (direct):
La  0.2791  0.5583  0.9163  8 La 3.43-3.61, 4 In 3.49-3.74
La  0.6278  0.2555  0.4568  7 La 3.38-3.68, 5 In 3.48-3.68
La  0.4525  0.9051  0.1831  4 In 3.48-3.53, 8 La 3.50-3.68
La  0.5475  0.0949  0.8169  4 In 3.48-3.53, 8 La 3.50-3.68
La  0.7209  0.4417  0.0837  8 La 3.43-3.61, 4 In 3.49-3.74
La  0.1894  0.3787  0.2743  4 In 3.46-3.74, 8 La 3.50-3.66
La  0.8106  0.6213  0.7257  4 In 3.46-3.74, 8 La 3.50-3.66
La  0.3722  0.7445  0.5432  7 La 3.38-3.68, 5 In 3.48-3.68
In  0.0000  0.0000  0.0000  12 La 3.49-3.74
In  0.0957  0.1914  0.6396  11 La 3.46-3.74, 1 In 3.80
In  0.9043  0.8086  0.3604  11 La 3.46-3.74, 1 In 3.80